[1]
TbCe2Be2Pt7 after structural relaxation, computed with PBE.

As for the density of states at the Fermi level: 0.96 states/eV per atom. The formation energy comes out at -96 kJ/mol of atoms. The crystal system is monoclinic.

The space group is C2/m (No. 12) and the conventional cell measures 5.743, 5.690 and 13.317 Å, with angles of 90.00, 98.77 and 90.00 degrees. The distinct sites, in fractional coordinates, are Tb at (0.000, 0.000, 0.000), Ce at (0.112, 0.000, 0.349), Be at (0.089, 0.500, 0.251), Pt at (0.000, 0.500, 0.000), Pt at (0.139, 0.500, 0.425) and Pt at (0.191, 0.250, 0.833).

[2]
Pr2OsC2 after structural relaxation, computed with PBE.

Its energy above the most stable polymorph in this dataset is 67.5 meV per atom. As for the density of states at the Fermi level: 0.61 states/eV per atom. The formation energy comes out at -14 kJ/mol of atoms. The crystal system is monoclinic.

The space group is C2/m (No. 12) and the conventional cell measures 11.534, 5.402 and 6.983 Å, with angles of 90.00, 121.36 and 90.00 degrees. The distinct sites, in fractional coordinates, are Pr at (0.038, 0.000, 0.286), Pr at (0.183, 0.500, 0.125), Os at (0.134, 0.500, 0.634), C at (0.010, 0.500, 0.290) and C at (0.182, 0.000, 0.107).

[3]
LuHfMnIr after structural relaxation, computed with PBE.

As for the density of states at the Fermi level: 1.20 states/eV per atom. The formation energy comes out at -44 kJ/mol of atoms. The crystal system is cubic.

The space group is F-43m (No. 216) and the conventional cell measures 6.534, 6.534 and 6.534 Å, with angles of 90.00, 90.00 and 90.00 degrees. The distinct sites, in fractional coordinates, are Lu at (0.000, 0.000, 0.000), Hf at (0.000, 0.000, 0.500), Mn at (0.250, 0.250, 0.250) and Ir at (0.250, 0.250, 0.750).